(i)
Computed, not measured: CeH2Cl6 after structural relaxation at the PBE level of DFT.

Output
The spin magnetization comes out at 0.00 μB per cell.

Cell lengths 14.165, 18.071, 4.198 Å; angles 90.00, 93.37, 90.00 degrees
Space group C2/c (No. 15)
Unique sites:
Ce (0.000, 0.195, 0.250) x4
H (0.142, 0.478, 0.396) x8
Cl (0.114, 0.244, 0.771) x8
Cl (0.119, 0.093, 0.271) x8
Cl (0.141, 0.424, 0.186) x8

***

(ii)
Computed, not measured: CeH2Cl6 after structural relaxation at the PBE level of DFT.

Output
The spin magnetization comes out at 0.44 μB per cell.

Cell lengths 13.714, 12.159, 6.775 Å; angles 90.00, 95.29, 90.00 degrees
Space group C2/c (No. 15)
Unique sites:
Ce (0.000, 0.106, 0.250) x4
H (0.128, 0.479, 0.491) x8
Cl (0.106, 0.065, 0.600) x8
Cl (0.118, 0.241, 0.128) x8
Cl (0.129, 0.418, 0.647) x8

***

Order of stability, best first: (ii), (i)